# BeAlAs4

A geometry-optimized BeAlAs4 structure (PBE, Alexandria).

Values from the calculation:
DOS at the Fermi energy: 0.1829 states/eV/atom
DFT total energy: -0.2690 Ry per atom
Formation energy: 684.0 meV per atom

a b c (Å): 5.517 5.517 5.517
angles (deg): 60.00 60.00 60.00
Fractional coordinates of all 6 atoms:
Be (0.750, 0.750, 0.750)
Al (0.000, 0.000, 0.000)
As (0.874, 0.375, 0.375)
As (0.375, 0.375, 0.874)
As (0.375, 0.874, 0.375)
As (0.375, 0.375, 0.375)